A PBEsol-optimized structure of Ba3NiIrRuO9, computed with SCAN.

```
Ba3NiIrRuO9
1.0
5.702 0.000 0.000
-2.851 4.938 0.000
0.000 0.000 14.009
Ba Ni Ir Ru O
6 2 2 2 18
Direct
0.000 0.000 0.249
0.000 0.000 0.751
0.333 0.667 0.586
0.333 0.667 0.916
0.667 0.333 0.084
0.667 0.333 0.414
0.000 0.000 0.000
0.000 0.000 0.500
0.333 0.667 0.161
0.667 0.333 0.839
0.333 0.667 0.344
0.667 0.333 0.656
0.019 0.510 0.252
0.168 0.337 0.083
0.168 0.832 0.083
0.170 0.340 0.419
0.170 0.830 0.419
0.337 0.168 0.917
0.340 0.170 0.581
0.490 0.510 0.252
0.490 0.981 0.252
0.510 0.019 0.748
0.510 0.490 0.748
0.660 0.830 0.419
0.663 0.832 0.083
0.830 0.170 0.581
0.830 0.660 0.581
0.832 0.168 0.917
0.832 0.663 0.917
0.981 0.490 0.748
```

Summary:
formation energy from raw total energies = -1.970 eV per atom